No. 1
Material: AlZnAsS
Method: DFT, PBE
State: optimized geometry

Computed properties:
E_form (uncorrected) (eV/atom): -0.6501
Total DFT energy (no corrections) (eV per atom): -4.098
Symmetry: R3m (160)

Geometry as POSCAR:
```
AlZnAsS
1.0
1.9860 1.1466 6.4182
-1.9860 1.1466 6.4182
0.0000 -2.2933 6.4182
Al Zn As S
1 1 1 1
Cartesian
0.0000 0.0000 0.0000 Al
0.0000 0.0000 9.6903 Zn
0.0000 0.0000 7.2435 As
0.0000 0.0000 16.9337 S
```

No. 2
Material: Al2SbAs
Method: DFT, PBE
State: optimized geometry

Computed properties:
E_form (uncorrected) (eV/atom): 0.1378
DOS at the Fermi energy (states/eV/atom): 0.378
Total DFT energy (no corrections) (eV per atom): -3.926
ΔE to the lowest computed polymorph (eV/atom): 0.449
Symmetry: Cmm2 (35)

Geometry as POSCAR:
```
Al2SbAs
1.0
1.9504 -2.3255 0.0000
1.9504 2.3255 0.0000
0.0000 0.0000 9.3625
Al Sb As
2 1 1
Cartesian
0.0000 0.0000 0.0000 Al
1.9504 0.0000 1.9741 Al
0.0000 0.0000 4.2479 Sb
1.9504 0.0000 7.5263 As
```

No. 3
Material: AlSbAs2
Method: DFT, PBE
State: optimized geometry

Computed properties:
E_form (uncorrected) (eV/atom): 0.3310
DOS at the Fermi energy (states/eV/atom): 0.778
Total DFT energy (no corrections) (eV per atom): -3.960
ΔE to the lowest computed polymorph (eV/atom): 0.384
Symmetry: F-43m (216)

Geometry as POSCAR:
```
AlSbAs2
1.0
0.0000 3.4539 3.4539
3.4539 0.0000 3.4539
3.4539 3.4539 0.0000
Al Sb As
1 1 2
Cartesian
0.0000 0.0000 0.0000 Al
5.1808 5.1808 5.1808 Sb
1.7269 1.7269 1.7269 As
3.4539 3.4539 3.4539 As
```

No. 4
Material: AlSb2As
Method: DFT, PBE
State: optimized geometry

Computed properties:
E_form (uncorrected) (eV/atom): 0.0892
DOS at the Fermi energy (states/eV/atom): 0.440
Total DFT energy (no corrections) (eV per atom): -4.070
ΔE to the lowest computed polymorph (eV/atom): 0.079
Symmetry: C2/m (12)

Geometry as POSCAR:
```
AlSb2As
1.0
3.5277 -2.0477 0.0000
3.5277 2.0477 0.0000
-2.4091 0.0000 6.7924
Al Sb As
1 2 1
Cartesian
0.0000 0.0000 0.0000 Al
-0.0419 0.0000 5.1412 Sb
4.6881 0.0000 1.6511 Sb
2.3231 0.0000 3.3962 As
```

No. 5
Material: AlSb2As
Method: DFT, PBE
State: optimized geometry

Computed properties:
E_form (uncorrected) (eV/atom): 0.2269
DOS at the Fermi energy (states/eV/atom): 0.600
Total DFT energy (no corrections) (eV per atom): -3.932
ΔE to the lowest computed polymorph (eV/atom): 0.217
Symmetry: Cmm2 (35)

Geometry as POSCAR:
```
AlSb2As
1.0
2.0212 -2.6283 0.0000
2.0212 2.6283 0.0000
0.0000 0.0000 8.7492
Al Sb As
1 2 1
Cartesian
0.0000 0.0000 0.0000 Al
0.0000 0.0000 4.7595 Sb
2.0212 0.0000 2.1557 Sb
2.0212 0.0000 7.2152 As
```

No. 6
Material: Al3SbAs
Method: DFT, PBE
State: optimized geometry

Computed properties:
E_form (uncorrected) (eV/atom): 0.9062
DOS at the Fermi energy (states/eV/atom): 0.640
Total DFT energy (no corrections) (eV per atom): -3.094
ΔE to the lowest computed polymorph (eV/atom): 0.499
Symmetry: Pm-3m (221)

Geometry as POSCAR:
```
Al3SbAs
1.0
5.2318 0.0000 0.0000
0.0000 5.2318 0.0000
0.0000 0.0000 5.2318
Al Sb As
3 1 1
Cartesian
0.0000 0.0000 2.6159 Al
0.0000 2.6159 0.0000 Al
2.6159 0.0000 0.0000 Al
0.0000 0.0000 0.0000 Sb
2.6159 2.6159 2.6159 As
```

What is the total DFT energy (no corrections) in the fifth record? -3.932 eV per atom